Record 1
Computed, not measured: NaSr4Hg2 after structural relaxation at the PBE level of DFT.

Cell: 5.5980 5.5980 32.1825 Å, 90.00 90.00 120.00°
Space group R-3m (No. 166, hexagonal axes)
Inequivalent atoms, fractional coordinates:
Na (0.0000, 0.0000, 0.0000) x3
Sr (0.0000, 0.0000, 0.2032) x6
Sr (0.0000, 0.0000, 0.3886) x6
Hg (0.0000, 0.0000, 0.0960) x6

Record 2
Computed, not measured: NaSr4Hg3 after structural relaxation at the PBE level of DFT.

Cell: 4.122 5.756 11.544 Å, 90.00 90.00 90.00°
Space group Pmmm (No. 47)
Inequivalent atoms, fractional coordinates:
Na (0.000, 0.000, 0.000) x1
Sr (0.500, 0.000, 0.269) x2
Sr (0.500, 0.500, 0.000) x1
Sr (0.500, 0.500, 0.500) x1
Hg (0.000, 0.000, 0.500) x1
Hg (0.000, 0.500, 0.238) x2

Record 3
Computed, not measured: Na2Sr7Hg2 after structural relaxation at the PBE level of DFT.

Cell: 9.734 12.891 8.298 Å, 90.00 90.00 90.00°
Space group Cmmm (No. 65)
Inequivalent atoms, fractional coordinates:
Na (0.164, 0.000, 0.000) x4
Sr (0.000, 0.000, 0.500) x2
Sr (0.000, 0.500, 0.262) x4
Sr (0.250, 0.250, 0.248) x8
Hg (0.000, 0.285, 0.500) x4

Record 4
Computed, not measured: Na3Sr6Hg after structural relaxation at the PBE level of DFT.

Cell: 6.283 10.850 14.666 Å, 90.00 115.29 90.00°
Space group P2_1/c (No. 14)
Inequivalent atoms, fractional coordinates:
Na (0.000, 0.000, 0.000) x2
Na (0.269, 0.156, 0.766) x4
Sr (0.078, 0.654, 0.076) x4
Sr (0.258, 0.011, 0.261) x4
Sr (0.422, 0.688, 0.420) x4
Hg (0.500, 0.000, 0.500) x2

Record 5
Computed, not measured: Na6SrHg6 after structural relaxation at the PBE level of DFT.

Cell: 6.509 10.082 11.660 Å, 90.00 90.00 90.00°
Space group Immm (No. 71)
Inequivalent atoms, fractional coordinates:
Na (0.000, 0.201, 0.000) x4
Na (0.250, 0.250, 0.250) x8
Sr (0.000, 0.000, 0.500) x2
Hg (0.000, 0.000, 0.209) x4
Hg (0.000, 0.349, 0.500) x4
Hg (0.000, 0.500, 0.133) x4

Record 6
Computed, not measured: NaSr2Hg2 after structural relaxation at the PBE level of DFT.

Cell: 8.825 8.825 4.434 Å, 90.00 90.00 90.00°
Space group P4/mbm (No. 127)
Inequivalent atoms, fractional coordinates:
Na (0.000, 0.000, 0.000) x2
Sr (0.162, 0.338, 0.500) x4
Hg (0.135, 0.635, 0.000) x4

Record 7
Computed, not measured: Na2Sr5Hg after structural relaxation at the PBE level of DFT.

Cell: 7.926 14.765 5.994 Å, 90.00 90.00 90.00°
Space group Pbam (No. 55)
Inequivalent atoms, fractional coordinates:
Na (0.134, 0.145, 0.000) x4
Sr (0.000, 0.000, 0.500) x2
Sr (0.119, 0.716, 0.500) x4
Sr (0.165, 0.405, 0.000) x4
Hg (0.000, 0.500, 0.500) x2

Record 8
Computed, not measured: Na8SrHg6 after structural relaxation at the PBE level of DFT.

Cell: 9.2235 9.2235 19.1034 Å, 90.00 90.00 120.00°
Space group R-3 (No. 148, hexagonal axes)
Inequivalent atoms, fractional coordinates:
Na (0.0000, 0.0000, 0.1623) x6
Na (0.0050, 0.6797, 0.7129) x18
Sr (0.0000, 0.0000, 0.5000) x3
Hg (0.0010, 0.3436, 0.4526) x18

Record 9
Computed, not measured: NaSr2Hg2 after structural relaxation at the PBE level of DFT.

Cell: 9.475 9.475 3.892 Å, 90.00 90.00 90.00°
Space group P4/mbm (No. 127)
Inequivalent atoms, fractional coordinates:
Na (0.000, 0.000, 0.000) x2
Sr (0.144, 0.356, 0.000) x4
Hg (0.152, 0.652, 0.500) x4

Record 10
Computed, not measured: NaSr3Hg6 after structural relaxation at the PBE level of DFT.

Cell: 13.0071 13.0071 12.8466 Å, 90.00 90.00 120.00°
Space group R-3c (No. 167, hexagonal axes)
Inequivalent atoms, fractional coordinates:
Na (0.0000, 0.0000, 0.0000) x6
Sr (0.0000, 0.4308, 0.2500) x18
Hg (0.0673, 0.2032, 0.3463) x36

Record 11
Computed, not measured: Na5SrHg6 after structural relaxation at the PBE level of DFT.

Cell: 5.457 7.399 8.424 Å, 90.00 106.34 90.00°
Space group P2/m (No. 10)
Inequivalent atoms, fractional coordinates:
Na (0.000, 0.000, 0.000) x1
Na (0.363, 0.500, 0.660) x2
Na (0.386, 0.000, 0.674) x2
Sr (0.000, 0.500, 0.000) x1
Hg (0.120, 0.232, 0.344) x4
Hg (0.500, 0.236, 0.000) x2

Record 12
Computed, not measured: Na2Sr6Hg after structural relaxation at the PBE level of DFT.

Cell: 11.262 11.738 12.356 Å, 90.00 90.00 90.00°
Space group Immm (No. 71)
Inequivalent atoms, fractional coordinates:
Na (0.000, 0.135, 0.000) x4
Na (0.138, 0.500, 0.500) x4
Sr (0.000, 0.325, 0.243) x8
Sr (0.174, 0.000, 0.238) x8
Sr (0.229, 0.188, 0.500) x8
Hg (0.000, 0.000, 0.500) x2
Hg (0.000, 0.500, 0.000) x2

Record 13
Computed, not measured: NaSr2Hg9 after structural relaxation at the PBE level of DFT.

Cell: 4.818 4.818 14.334 Å, 90.00 90.00 90.00°
Space group P4/mmm (No. 123)
Inequivalent atoms, fractional coordinates:
Na (0.000, 0.000, 0.000) x1
Sr (0.000, 0.000, 0.327) x2
Hg (0.000, 0.500, 0.158) x4
Hg (0.000, 0.500, 0.500) x2
Hg (0.500, 0.500, 0.000) x1
Hg (0.500, 0.500, 0.336) x2

Record 14
Computed, not measured: Na2Sr8Hg3 after structural relaxation at the PBE level of DFT.

Cell: 10.424 5.738 10.440 Å, 90.00 113.06 90.00°
Space group P2/m (No. 10)
Inequivalent atoms, fractional coordinates:
Na (0.248, 0.000, 0.252) x2
Sr (0.109, 0.500, 0.391) x2
Sr (0.137, 0.000, 0.859) x2
Sr (0.359, 0.000, 0.637) x2
Sr (0.388, 0.500, 0.112) x2
Hg (0.000, 0.000, 0.500) x1
Hg (0.257, 0.500, 0.757) x2

Record 15
Computed, not measured: Na3Sr12Hg5 after structural relaxation at the PBE level of DFT.

Cell: 20.102 20.102 20.102 Å, 90.00 90.00 90.00°
Space group Ia-3d (No. 230)
Inequivalent atoms, fractional coordinates:
Na (0.000, 0.250, 0.125) x24
Sr (0.029, 0.064, 0.644) x96
Hg (0.000, 0.000, 0.000) x16
Hg (0.000, 0.250, 0.375) x24

Record 16
Computed, not measured: Na6SrHg4 after structural relaxation at the PBE level of DFT.

Cell: 9.9080 9.9080 3.9709 Å, 90.00 90.00 120.00°
Space group P-6m2 (No. 187)
Inequivalent atoms, fractional coordinates:
Na (0.1972, 0.3944, 0.0000) x3
Na (0.5418, 0.0835, 0.5000) x3
Sr (0.0000, 0.0000, 0.5000) x1
Hg (0.3260, 0.1630, 0.0000) x3
Hg (0.3333, 0.6667, 0.5000) x1

Record 17
Computed, not measured: NaSr2Hg16 after structural relaxation at the PBE level of DFT.

Cell: 9.9746 9.9746 18.3015 Å, 90.00 90.00 120.00°
Space group R3m (No. 160, hexagonal axes)
Inequivalent atoms, fractional coordinates:
Na (0.0000, 0.0000, 0.0000) x3
Sr (0.0000, 0.0000, 0.4336) x3
Sr (0.0000, 0.0000, 0.7440) x3
Hg (0.0000, 0.0000, 0.1630) x3
Hg (0.0269, 0.3569, 0.7524) x18
Hg (0.2036, 0.4072, 0.9426) x9
Hg (0.2039, 0.4077, 0.5515) x9
Hg (0.2138, 0.4276, 0.2599) x9

| no. | D(E_F) (states/eV/atom) | E_tot (eV/atom) |
| --- | --- | --- |
| 1 | 1.26 | -1.452 |
| 2 | 0.76 | -1.509 |
| 3 | 0.83 | -1.480 |
| 4 | 1.07 | -1.476 |
| 5 | 0.59 | -1.079 |
| 6 | 0.62 | -1.468 |
| 7 | 0.94 | -1.520 |
| 8 | 0.53 | -1.144 |
| 9 | 0.66 | -1.362 |
| 10 | 0.55 | -1.202 |
| 11 | 0.53 | -1.126 |
| 12 | 0.97 | -1.503 |
| 13 | 0.25 | -0.955 |
| 14 | 0.79 | -1.461 |
| 15 | 0.99 | -1.313 |
| 16 | 0.58 | -1.195 |
| 17 | 0.43 | -0.702 |